This record from Alexandria via LeMat-Bulk describes crystalline AcCrN at its relaxed geometry. The functional is PBE-GGA.

Unit cell a=3.1658 b=3.1658 c=5.8594 alpha=105.67 beta=105.67 gamma=90.00
Positions (direct):
Cr  0.2632  0.2632  0.5263
Ac  0.9847  0.9847  0.9695
N  0.7521  0.7521  0.5042

E_tot   -20.7 eV/f.u.
Formation energy from raw total energies   0.468 eV/atom
Space group   I4mm
Energy above the lowest structure with this stoichiometry   961 meV per atom